# Pm2Pr3Tl GGA-PBE optimized geometry
# calculated volume	198	Å³ per cell
# uncorrected energy	-4.477	eV/atom
# calculated formation energy	-11	kJ per mole of atoms
# ΔE to the lowest computed polymorph	0.0000	eV per atom
data_Pm2Pr3Tl
_chemical_formula_sum 'Pm2 Pr3 Tl1'
_cell_length_a 5.015
_cell_length_b 5.034
_cell_length_c 8.242
_cell_angle_alpha 107.78
_cell_angle_beta 90.00
_cell_angle_gamma 90.00
_space_group_name_H-M_alt 'P 1'
_space_group_IT_number 1
loop_
_space_group_symop_operation_xyz
'x,y,z'
loop_
_atom_site_label
_atom_site_type_symbol
_atom_site_fract_x
_atom_site_fract_y
_atom_site_fract_z
Pr1 Pr 0.500 0.500 0.000
Pr2 Pr 0.500 0.165 0.331
Pr3 Pr 0.500 0.835 0.669
Pm1 Pm 0.000 0.663 0.326
Pm2 Pm 0.000 0.337 0.674
Tl1 Tl 0.000 0.000 0.000